#a
PuRhS2 (GGA-PBE, optimized geometry); space group = R-3m; crystal system = trigonal
1.0
1.799 1.038 7.868
-1.799 1.038 7.868
0.000 -2.077 7.868
Pu Rh S
1 1 2
direct
0.000 0.000 0.000
0.500 0.500 0.500
0.116 0.116 0.116
0.884 0.884 0.884

---

#b
PuRhS2 (GGA-PBE, optimized geometry); space group = R3m; crystal system = trigonal
1.0
1.891 1.092 5.891
-1.891 1.092 5.891
0.000 -2.183 5.891
Pu Rh S
1 1 2
direct
0.000 0.000 0.000
0.182 0.182 0.182
0.575 0.575 0.575
0.767 0.767 0.767

---

Result of the stability comparison: #a is the least stable of them.

---

#a
Pu2SbRh (GGA-PBE, optimized geometry); space group = C2/m; crystal system = monoclinic
1.0
3.843 -2.215 0.000
3.843 2.215 0.000
-0.003 0.000 6.216
Pu Sb Rh
2 1 1
direct
0.167 0.167 0.209
0.833 0.833 0.791
0.500 0.500 0.500
0.500 0.500 0.000

---

#b
Pu2SbRh (GGA-PBE, optimized geometry); space group = P4/mmm; crystal system = tetragonal
1.0
4.417 0.000 0.000
0.000 4.417 0.000
0.000 0.000 4.496
Pu Sb Rh
2 1 1
direct
0.000 0.500 0.000
0.500 0.000 0.000
0.000 0.000 0.500
0.500 0.500 0.500

---

Result of the stability comparison: #a is the least stable of them.

---

#a
Pu2SbRh (GGA-PBE, optimized geometry); space group = Cm; crystal system = monoclinic
1.0
4.647 -1.815 0.000
4.647 1.815 0.000
-1.969 0.000 4.811
Pu Sb Rh
2 1 1
direct
0.000 0.000 0.000
0.710 0.710 0.159
0.499 0.499 0.506
0.247 0.247 0.680

---

#b
Pu2SbRh (GGA-PBE, optimized geometry); space group = P4/mmm; crystal system = tetragonal
1.0
3.899 0.000 0.000
0.000 3.899 0.000
0.000 0.000 5.885
Pu Sb Rh
2 1 1
direct
0.000 0.000 0.236
0.000 0.000 0.764
0.500 0.500 0.500
0.500 0.500 0.000

---

Result of the stability comparison: #a is the least stable of them.

---

#a
Pu3Sb4Rh2 (GGA-PBE, optimized geometry); space group = C2/m; crystal system = monoclinic
1.0
5.795 -2.291 0.000
5.795 2.291 0.000
-3.476 0.000 8.175
Pu Sb Rh
3 4 2
direct
0.000 0.000 0.000
0.371 0.371 0.312
0.629 0.629 0.688
0.081 0.081 0.384
0.299 0.299 0.914
0.701 0.701 0.086
0.919 0.919 0.616
0.309 0.309 0.619
0.691 0.691 0.381

---

#b
Pu3Sb4Rh2 (GGA-PBE, optimized geometry); space group = C2/m; crystal system = monoclinic
1.0
5.578 -2.463 0.000
5.578 2.463 0.000
-5.454 0.000 7.503
Pu Sb Rh
3 4 2
direct
0.000 0.000 0.000
0.353 0.353 0.317
0.647 0.647 0.683
0.109 0.109 0.414
0.312 0.312 0.943
0.688 0.688 0.057
0.891 0.891 0.586
0.396 0.396 0.717
0.604 0.604 0.283

---

Result of the stability comparison: #b is the least stable of them.

---

#a
PuSc2Rh (GGA-PBE, optimized geometry); space group = P4/mmm; crystal system = tetragonal
1.0
3.207 0.000 0.000
0.000 3.207 0.000
0.000 0.000 8.209
Pu Sc Rh
1 2 1
direct
0.000 0.000 0.000
0.500 0.500 0.303
0.500 0.500 0.697
0.000 0.000 0.500

---

#b
PuSc2Rh (GGA-PBE, optimized geometry); space group = R3m; crystal system = trigonal
1.0
1.645 0.950 9.368
-1.645 0.950 9.368
0.000 -1.899 9.368
Pu Sc Rh
1 2 1
direct
0.000 0.000 0.000
0.566 0.566 0.566
0.765 0.765 0.765
0.165 0.165 0.165

---

Result of the stability comparison: #b is the least stable of them.

---

#a
Pu2RhSe (GGA-PBE, optimized geometry); space group = Cmcm; crystal system = orthorhombic
1.0
2.089 -10.793 0.000
2.089 10.793 0.000
0.000 0.000 3.907
Pu Rh Se
4 2 2
direct
0.063 0.937 0.750
0.320 0.680 0.250
0.680 0.320 0.750
0.937 0.063 0.250
0.451 0.549 0.750
0.549 0.451 0.250
0.184 0.816 0.250
0.816 0.184 0.750

---

#b
Pu2RhSe (GGA-PBE, optimized geometry); space group = P4/mmm; crystal system = tetragonal
1.0
3.476 0.000 0.000
0.000 3.476 0.000
0.000 0.000 7.148
Pu Rh Se
2 1 1
direct
0.000 0.000 0.238
0.000 0.000 0.762
0.500 0.500 0.000
0.500 0.500 0.500

---

Result of the stability comparison: #b is the least stable of them.

---

#a
Sm2PuRh (GGA-PBE, optimized geometry); space group = P4/mmm; crystal system = tetragonal
1.0
3.534 0.000 0.000
0.000 3.534 0.000
0.000 0.000 8.521
Sm Pu Rh
2 1 1
direct
0.000 0.000 0.197
0.000 0.000 0.803
0.500 0.500 0.500
0.500 0.500 0.000

---

#b
Sm2PuRh (GGA-PBE, optimized geometry); space group = Fm-3m; crystal system = cubic
1.0
0.000 3.664 3.664
3.664 0.000 3.664
3.664 3.664 0.000
Sm Pu Rh
2 1 1
direct
0.250 0.250 0.250
0.750 0.750 0.750
0.000 0.000 0.000
0.500 0.500 0.500

---

Result of the stability comparison: #b is the least stable of them.

---

#a
Sm2PuRh3 (GGA-PBE, optimized geometry); space group = C2/c; crystal system = monoclinic
1.0
6.039 -2.849 0.000
6.039 2.849 0.000
-2.928 0.000 7.848
Sm Pu Rh
4 2 6
direct
0.144 0.204 0.082
0.204 0.144 0.582
0.796 0.856 0.418
0.856 0.796 0.918
0.399 0.601 0.750
0.601 0.399 0.250
0.118 0.882 0.250
0.325 0.402 0.424
0.402 0.325 0.924
0.598 0.675 0.076
0.675 0.598 0.576
0.882 0.118 0.750

---

#b
Sm2PuRh3 (GGA-PBE, optimized geometry); space group = P-3m1; crystal system = trigonal
1.0
4.908 0.000 0.000
-2.454 4.251 0.000
0.000 0.000 6.040
Sm Pu Rh
2 1 3
direct
0.333 0.667 0.167
0.667 0.333 0.833
0.000 0.000 0.500
0.000 0.000 0.000
0.333 0.667 0.655
0.667 0.333 0.345

---

Result of the stability comparison: #a is the least stable of them.